DFT (PBE) results for a relaxed structure of Ag2Os.

Computed properties:
Volume = 16.69 Å³/atom
Energy of formation = 0.586 eV per atom
Total moment = 0.092 μB per atom
VASP energy = -60.7 eV/cell
Energy above the most stable polymorph in this dataset = 134 meV per atom

The structure in CIF format:
```
data_Ag2Os
_chemical_formula_sum 'Ag8 Os4'
_symmetry_space_group_name_H-M 'C 1 m 1'
_symmetry_Int_Tables_number 8
_symmetry_space_group_name_Hall 'C -2y'
_cell_length_a 10.8287
_cell_length_b 2.7880
_cell_length_c 6.9370
_cell_angle_alpha 90.00
_cell_angle_beta 107.03
_cell_angle_gamma 90.00
loop_
_atom_site_label
_atom_site_type_symbol
_atom_site_fract_x
_atom_site_fract_y
_atom_site_fract_z
_atom_site_occupancy
Ag1 Ag 0.0000 0.0000 0.0000 1
Ag2 Ag 0.0379 0.0000 0.6096 1
Ag3 Ag 0.1495 0.5000 0.3402 1
Ag4 Ag 0.3177 0.0000 0.6685 1
Os1 Os 0.2264 0.5000 0.9632 1
Os2 Os 0.3615 0.0000 0.2512 1
```